Entry from the Alexandria database: a relaxed structure of Ho5ThTl8 (PBE-GGA).

Results
* calculated formation energy: -0.18 eV per atom
* E_tot: -3.697 eV per atom

Structure (extended XYZ):
```
14
Lattice="8.045 -0.038 0.065 -2.758 7.558 -0.065 -2.530 -3.840 6.602" Properties=species:S:1:pos:R:3 pbc="T T T"
Tl 4.559 0.586 2.418
Tl -1.222 5.378 0.315
Tl 1.723 -0.397 5.981
Tl -2.532 3.608 3.300
Tl 0.187 3.660 5.799
Tl 5.699 -2.180 4.584
Tl 1.766 3.563 1.505
Tl 0.852 0.502 2.505
Ho 2.666 2.242 4.412
Ho 3.966 5.899 1.580
Ho -1.078 2.259 0.777
Ho 2.758 -1.939 3.333
Ho -0.039 -3.041 6.435
Th -1.265 0.889 4.935
```



Entry from the Alexandria database: a relaxed structure of La2TbAlN (PBE-GGA).

Results
* E_tot: -6.098 eV per atom

Structure (extended XYZ):
```
5
Lattice="4.842 0.000 0.000 0.000 5.088 0.000 0.000 0.000 5.088" Properties=species:S:1:pos:R:3 pbc="T T T"
La 0.000 0.000 2.544
La 0.000 2.544 0.000
Al 2.421 2.544 2.544
Tb 2.421 0.000 0.000
N 0.000 0.000 0.000
```



Entry from the Alexandria database: a relaxed structure of Sm3Al2Co7 (PBE-GGA).

Results
* calculated formation energy: -0.25 eV per atom
* E_tot: -6.198 eV per atom

Structure (extended XYZ):
```
12
Lattice="-4.739 -2.027 0.815 -1.341 -1.667 4.759 -4.783 5.906 3.582" Properties=species:S:1:pos:R:3 pbc="T T T"
Sm -3.622 2.901 2.856
Sm 0.000 0.000 0.000
Sm -7.240 -0.689 6.301
Co -6.464 3.121 3.586
Co -4.399 -0.909 5.571
Co -7.124 2.300 5.928
Co -3.739 -0.089 3.229
Co -6.071 -1.086 3.631
Co -5.431 1.106 4.579
Co -4.792 3.298 5.527
Al -2.033 -1.214 1.863
Al -8.829 3.425 7.295
```



Entry from the Alexandria database: a relaxed structure of LaHg2AuI (PBE-GGA).

Results
* E_tot: -2.096 eV per atom

Structure (extended XYZ):
```
5
Lattice="5.242 0.000 0.000 0.000 5.981 0.000 0.000 0.000 5.242" Properties=species:S:1:pos:R:3 pbc="T T T"
Au 0.000 0.000 0.000
Hg 0.000 0.000 2.621
Hg 2.621 0.000 0.000
La 2.621 2.991 2.621
I 0.000 2.991 0.000
```



Entry from the Alexandria database: a relaxed structure of LaPuI2N (PBE-GGA).

Results
* E_tot: -7.168 eV per atom

Structure (extended XYZ):
```
10
Lattice="4.379 0.000 0.000 0.000 4.379 0.000 0.000 0.000 15.770" Properties=species:S:1:pos:R:3 pbc="T T T"
I 2.189 0.000 13.953
I 0.000 2.189 11.265
I 0.000 2.189 1.817
I 2.189 0.000 4.504
La 0.000 2.189 6.839
La 2.189 0.000 8.931
Pu 0.000 2.189 14.409
Pu 2.189 0.000 1.361
N 2.189 2.189 7.885
N 0.000 0.000 7.885
```



Entry from the Alexandria database: a relaxed structure of DyYCdCu (PBE-GGA).

Results
* energy above the most stable polymorph in this dataset: 0 meV per atom
* calculated formation energy: -0.28 eV per atom
* E_tot: -4.300 eV per atom

Structure (extended XYZ):
```
4
Lattice="-1.019 3.095 -1.337 0.189 -1.343 -3.251 -7.292 -2.192 0.482" Properties=species:S:1:pos:R:3 pbc="T T T"
Cu -4.859 -0.460 -2.000
Y -2.801 -0.842 0.185
Dy -6.043 -1.817 0.399
Cd -1.187 0.644 -2.243
```



Q: E_tot of number 1 (Ho5ThTl8)?
A: -3.697 eV per atom



Q: What is the E_tot in the third record?
A: -6.198 eV per atom



Q: What is the E_tot in the fifth record?
A: -7.168 eV per atom



Q: The highest E_tot belongs to which entry?
A: LaHg2AuI